(1)
First-principles (PBE) data for a relaxed structure of Pm7Dy12Tl, as listed in Alexandria.

Formation energy from the elements, meV per atom: 177

a b c (Å): 8.757 8.764 8.766
angles (deg): 89.20 89.31 89.17
Space group P-1 (No. 2)
Asymmetric unit:
1 Pm 0.000 0.000 0.000
2 Pm 0.123 0.715 0.267
3 Pm 0.266 0.122 0.715
4 Pm 0.285 0.734 0.878
5 Dy 0.037 0.159 0.377
6 Dy 0.159 0.378 0.036
7 Dy 0.165 0.495 0.613
8 Dy 0.378 0.037 0.159
9 Dy 0.388 0.835 0.505
10 Dy 0.495 0.612 0.165
11 Tl 0.500 0.500 0.500

=====

(2)
First-principles (PBE) data for a relaxed structure of SnMo3Br, as listed in Alexandria.

Energy relative to the lowest polymorph listed for this composition, meV per atom: 0
Formation energy without anion corrections, eV per atom: 1.430

a b c (Å): 4.635 4.635 4.635
angles (deg): 90.00 90.00 90.00
Space group Pm-3m (No. 221)
Asymmetric unit:
1 Sn 0.000 0.000 0.000
2 Mo 0.000 0.500 0.500
3 Br 0.500 0.500 0.500

=====

(3)
First-principles (PBE) data for a relaxed structure of ReNiPb2, as listed in Alexandria.

Formation energy from the elements, meV per atom: 991
Energy relative to the lowest polymorph listed for this composition, meV per atom: 545

a b c (Å): 3.323 4.418 5.481
angles (deg): 90.00 90.00 90.00
Space group Pmmm (No. 47)
Asymmetric unit:
1 Re 0.000 0.000 0.000
2 Ni 0.500 0.000 0.500
3 Pb 0.000 0.500 0.500
4 Pb 0.500 0.500 0.000

=====

In Bohr magnetons per cell, the total magnetic moment values for the records above are, in order, 0.00, 0.00, 0.00.
In g cm⁻³, the mass density values for the records above are, in order, 7.83, 8.11, 13.60.